No. 1
# Ag2SnBi

A relaxed structure of Ag2SnBi (PBE, Alexandria).

Results
- Energy relative to the elements: 0.09 eV/atom
- Total DFT energy (no corrections): -3.30 eV per atom

Cell lengths 3.656, 3.656, 7.103 Å; angles 90.00, 90.00, 90.00 degrees
Positions (direct):
Bi1 0.500 0.500 0.500
Ag1 0.000 0.000 0.771
Ag2 0.000 0.000 0.229
Sn1 0.500 0.500 0.000


No. 2
# Pa3Sb4

A relaxed structure of Pa3Sb4 (PBE, Alexandria).

Results
- ΔE_f (raw): -194 kJ/mol of formula units
- Total DFT energy (no corrections): -6.71 eV per atom
- E above lowest polymorph: 0.245 eV/atom

Cell lengths 4.553, 4.553, 11.986 Å; angles 79.05, 79.05, 60.00 degrees
Positions (direct):
Pa1 0.763 0.763 0.711
Pa2 0.237 0.237 0.289
Pa3 0.000 0.000 0.000
Sb1 0.381 0.381 0.856
Sb2 0.140 0.140 0.581
Sb3 0.860 0.860 0.419
Sb4 0.619 0.619 0.144


No. 3
# Zn2HgBi2

A relaxed structure of Zn2HgBi2 (PBE, Alexandria).

Results
- Energy relative to the elements: 0.07 eV/atom
- Total DFT energy (no corrections): -2.05 eV per atom
- E above lowest polymorph: 0.000 eV/atom

Cell lengths 3.924, 3.924, 9.245 Å; angles 77.75, 77.75, 90.00 degrees
Positions (direct):
Zn1 0.750 0.250 0.500
Zn2 0.250 0.750 0.500
Bi1 0.369 0.369 0.261
Bi2 0.631 0.631 0.739
Hg1 0.000 0.000 0.000


No. 4
# SbOs2Se

A relaxed structure of SbOs2Se (PBE, Alexandria).

Results
- ΔE_f (raw): 287 kJ/mol of formula units
- Total DFT energy (no corrections): -6.77 eV per atom
- E above lowest polymorph: 0.390 eV/atom

Cell lengths 5.669, 5.669, 7.021 Å; angles 66.19, 66.19, 90.00 degrees
Positions (direct):
Sb1 0.000 0.000 0.000
Sb2 0.750 0.250 0.500
Os1 0.592 0.125 0.250
Os2 0.158 0.625 0.250
Os3 0.375 0.408 0.750
Os4 0.875 0.842 0.750
Se1 0.500 0.500 0.000
Se2 0.250 0.750 0.500


No. 5
# SrSmH6Pt2

A relaxed structure of SrSmH6Pt2 (PBE, Alexandria).

Results
- Total DFT energy (no corrections): -4.44 eV per atom

Cell lengths 6.332, 6.332, 6.776 Å; angles 103.52, 103.52, 103.31 degrees
Positions (direct):
Sr1 0.154 0.846 0.250
Sr2 0.846 0.154 0.750
Sm1 0.589 0.411 0.250
Sm2 0.411 0.589 0.750
H1 0.918 0.429 0.128
H2 0.571 0.082 0.372
H3 0.082 0.571 0.872
H4 0.429 0.918 0.628
H5 0.218 0.159 0.004
H6 0.841 0.782 0.496
H7 0.782 0.841 0.996
H8 0.159 0.218 0.504
H9 0.309 0.535 0.381
H10 0.465 0.691 0.119
H11 0.691 0.465 0.619
H12 0.535 0.309 0.881
Pt1 0.330 0.051 0.819
Pt2 0.949 0.670 0.681
Pt3 0.670 0.949 0.181
Pt4 0.051 0.330 0.319


No. 6
# TiBeNi6

A relaxed structure of TiBeNi6 (PBE, Alexandria).

Results
- Energy relative to the elements: -0.07 eV/atom
- Total DFT energy (no corrections): -5.86 eV per atom
- E above lowest polymorph: 0.240 eV/atom

Cell lengths 4.876, 4.876, 4.897 Å; angles 70.97, 70.97, 109.79 degrees
Positions (direct):
Ti1 0.500 0.500 0.500
Be1 0.000 0.000 0.000
Ni1 0.217 0.748 0.251
Ni2 0.748 0.217 0.251
Ni3 0.252 0.783 0.749
Ni4 0.783 0.252 0.749
Ni5 0.251 0.251 0.216
Ni6 0.749 0.749 0.784


No. 7
# Sm5Si3C

A relaxed structure of Sm5Si3C (PBE, Alexandria).

Results
- ΔE_f (raw): -446 kJ/mol of formula units
- Total DFT energy (no corrections): -5.97 eV per atom

Cell lengths 8.662, 8.662, 6.644 Å; angles 90.00, 90.00, 120.00 degrees
Positions (direct):
Sm1 0.667 0.333 0.000
Sm2 0.333 0.667 0.000
Sm3 0.333 0.667 0.500
Sm4 0.667 0.333 0.500
Sm5 0.777 0.777 0.750
Sm6 0.223 0.000 0.750
Sm7 0.000 0.223 0.750
Sm8 0.223 0.223 0.250
Sm9 0.777 0.000 0.250
Sm10 0.000 0.777 0.250
Si1 0.412 0.412 0.750
Si2 0.588 0.000 0.750
Si3 0.000 0.588 0.750
Si4 0.588 0.588 0.250
Si5 0.412 0.000 0.250
Si6 0.000 0.412 0.250
C1 0.000 0.000 0.000
C2 0.000 0.000 0.500


No. 8
# SrPr3H

A relaxed structure of SrPr3H (PBE, Alexandria).

Results
- Total DFT energy (no corrections): -3.95 eV per atom

Cell lengths 5.338, 5.338, 5.338 Å; angles 90.00, 90.00, 90.00 degrees
Positions (direct):
Pr1 0.000 0.500 0.000
Pr2 0.000 0.000 0.500
Pr3 0.500 0.000 0.000
Sr1 0.500 0.500 0.500
H1 0.000 0.000 0.000


No. 9
# CaEr6Tm12

A relaxed structure of CaEr6Tm12 (PBE, Alexandria).

Results
- Energy relative to the elements: 0.44 eV/atom
- Total DFT energy (no corrections): -3.93 eV per atom

Cell lengths 9.196, 9.196, 9.196 Å; angles 107.34, 107.34, 107.34 degrees
Positions (direct):
Ca1 0.000 0.000 0.000
Er1 0.689 0.280 0.689
Er2 0.689 0.689 0.280
Er3 0.280 0.689 0.689
Er4 0.311 0.311 0.720
Er5 0.311 0.720 0.311
Er6 0.720 0.311 0.311
Tm1 0.888 0.112 0.500
Tm2 0.353 0.127 0.353
Tm3 0.353 0.353 0.127
Tm4 0.873 0.647 0.647
Tm5 0.647 0.647 0.873
Tm6 0.647 0.873 0.647
Tm7 0.500 0.888 0.112
Tm8 0.112 0.500 0.888
Tm9 0.112 0.888 0.500
Tm10 0.500 0.112 0.888
Tm11 0.888 0.500 0.112
Tm12 0.127 0.353 0.353


No. 10
# Pr3AgSb

A relaxed structure of Pr3AgSb (PBE, Alexandria).

Results
- ΔE_f (raw): -239 kJ/mol of formula units
- Total DFT energy (no corrections): -4.76 eV per atom

Cell lengths 4.300, 8.318, 9.084 Å; angles 91.98, 90.02, 105.01 degrees
Positions (direct):
Pr1 0.066 0.165 0.406
Pr2 0.425 0.881 0.641
Pr3 0.619 0.274 0.781
Pr4 0.978 0.989 0.016
Pr5 0.265 0.563 0.028
Pr6 0.779 0.591 0.394
Ag1 0.228 0.489 0.637
Ag2 0.816 0.665 0.785
Sb1 0.415 0.863 0.278
Sb2 0.629 0.291 0.144


No. 11
# Ba2TlGaRh

A relaxed structure of Ba2TlGaRh (PBE, Alexandria).

Results
- Energy relative to the elements: -0.29 eV/atom
- Total DFT energy (no corrections): -3.61 eV per atom

Cell lengths 6.068, 6.068, 4.844 Å; angles 90.00, 90.00, 90.00 degrees
Positions (direct):
Tl1 0.500 0.500 0.500
Rh1 0.000 0.000 0.000
Ba1 0.000 0.500 0.000
Ba2 0.500 0.000 0.000
Ga1 0.000 0.000 0.500


No. 12
# NiSe2Br

A relaxed structure of NiSe2Br (PBE, Alexandria).

Results
- ΔE_f (raw): 158 kJ/mol of formula units
- Total DFT energy (no corrections): -3.20 eV per atom
- E above lowest polymorph: 0.646 eV/atom

Cell lengths 3.868, 3.868, 5.392 Å; angles 90.00, 90.00, 90.00 degrees
Positions (direct):
Ni1 0.000 0.000 0.500
Se1 0.500 0.500 0.500
Se2 0.000 0.000 0.000
Br1 0.500 0.500 0.000